Compound: LaSmGaCo
Source: Alexandria via LeMat-Bulk
Functional: PBE-GGA
Structure: optimized geometry

The structure in POSCAR format:
```
LaSmGaCo
1.0
7.2346 0.0000 0.0000
0.0000 7.2346 0.0000
0.0000 0.0000 7.2346
La Sm Ga Co
4 4 4 4
Direct
0.0000 0.0000 0.0000 La
0.0000 0.5000 0.5000 La
0.5000 0.0000 0.5000 La
0.5000 0.5000 0.0000 La
0.0000 0.0000 0.5000 Sm
0.0000 0.5000 0.0000 Sm
0.5000 0.0000 0.0000 Sm
0.5000 0.5000 0.5000 Sm
0.2500 0.2500 0.2500 Ga
0.2500 0.7500 0.7500 Ga
0.7500 0.2500 0.7500 Ga
0.7500 0.7500 0.2500 Ga
0.2500 0.2500 0.7500 Co
0.2500 0.7500 0.2500 Co
0.7500 0.2500 0.2500 Co
0.7500 0.7500 0.7500 Co
```

Properties
The calculation puts the density at 7.33 g/cm3. The value obtained for the magnetization is 0.25 μB/atom. The calculation puts the calculated total energy at -5.158 eV/atom. Its symmetry is No. 216.

=====

Compound: La2GaCoSn
Source: Alexandria via LeMat-Bulk
Functional: PBE-GGA
Structure: optimized geometry

The structure in POSCAR format:
```
La2GaCoSn
1.0
5.2603 0.0000 0.0000
0.0000 5.2603 0.0000
0.0000 0.0000 4.6805
La Ga Co Sn
2 1 1 1
Direct
0.0000 0.5000 0.0000 La
0.5000 0.0000 0.0000 La
0.0000 0.0000 0.5000 Ga
0.0000 0.0000 0.0000 Co
0.5000 0.5000 0.5000 Sn
```

Properties
The calculation puts the density at 6.73 g/cm3. The value obtained for the magnetization is 0.00 μB/atom. The calculation puts the calculated total energy at -5.334 eV/atom. Its symmetry is No. 123.

=====

Compound: La2Ga4CoSn2
Source: Alexandria via LeMat-Bulk
Functional: PBE-GGA
Structure: optimized geometry

The structure in POSCAR format:
```
La2Ga4CoSn2
1.0
-3.2602 3.2602 4.5805
3.2602 -3.2602 4.5805
3.2602 3.2602 -4.5805
La Ga Co Sn
2 4 1 2
Direct
0.2500 0.7500 0.5000 La
0.7500 0.2500 0.5000 La
0.2316 0.2316 0.4633 Ga
0.2316 0.7684 0.0000 Ga
0.7684 0.2316 0.0000 Ga
0.7684 0.7684 0.5367 Ga
0.5000 0.5000 0.0000 Co
0.2178 0.2178 0.0000 Sn
0.7822 0.7822 0.0000 Sn
```

Properties
The calculation puts the density at 7.27 g/cm3. The value obtained for the magnetization is 0.00 μB/atom. The calculation puts the calculated total energy at -4.634 eV/atom. Its symmetry is No. 139.

=====

Compound: SrLaGa2Co
Source: Alexandria via LeMat-Bulk
Functional: PBE-GGA
Structure: optimized geometry

The structure in POSCAR format:
```
SrLaGa2Co
1.0
4.9469 0.0000 0.0000
0.0000 4.9469 0.0000
0.0000 0.0000 4.9286
Sr La Ga Co
1 1 2 1
Direct
0.0000 0.0000 0.0000 Sr
0.5000 0.5000 0.0000 La
0.0000 0.5000 0.5000 Ga
0.5000 0.0000 0.5000 Ga
0.5000 0.5000 0.5000 Co
```

Properties
The calculation puts the density at 5.85 g/cm3. The value obtained for the magnetization is 0.00 μB/atom. The calculation puts the calculated total energy at -4.241 eV/atom. Its symmetry is No. 123.

=====

Compound: SrLa2GaCo
Source: Alexandria via LeMat-Bulk
Functional: PBE-GGA
Structure: optimized geometry

The structure in POSCAR format:
```
SrLa2GaCo
1.0
5.4219 0.0000 0.0000
0.0000 5.4219 0.0000
0.0000 0.0000 4.9426
Sr La Ga Co
1 2 1 1
Direct
0.0000 0.0000 0.0000 Sr
0.0000 0.5000 0.5000 La
0.5000 0.0000 0.5000 La
0.5000 0.5000 0.0000 Ga
0.5000 0.5000 0.5000 Co
```

Properties
The calculation puts the density at 5.65 g/cm3. The value obtained for the magnetization is 0.00 μB/atom. The calculation puts the calculated total energy at -4.478 eV/atom. Its symmetry is No. 123.

=====

Compound: La2TaGaCo
Source: Alexandria via LeMat-Bulk
Functional: PBE-GGA
Structure: optimized geometry

The structure in POSCAR format:
```
La2TaGaCo
1.0
5.5927 0.0000 0.0000
0.0000 5.5927 0.0000
0.0000 0.0000 4.8085
La Ta Ga Co
2 1 1 1
Direct
0.0000 0.5000 0.0000 La
0.5000 0.0000 0.0000 La
0.0000 0.0000 0.5000 Ta
0.0000 0.0000 0.0000 Ga
0.5000 0.5000 0.5000 Co
```

Properties
The calculation puts the density at 6.49 g/cm3. The value obtained for the magnetization is 0.00 μB/atom. The calculation puts the calculated total energy at -5.298 eV/atom. Its symmetry is No. 123.

=====

Compound: La2TbGa12Co3
Source: Alexandria via LeMat-Bulk
Functional: PBE-GGA
Structure: optimized geometry

The structure in POSCAR format:
```
La2TbGa12Co3
1.0
4.2880 2.4757 6.2549
-4.2880 2.4757 6.2549
0.0000 -4.9514 6.2549
La Tb Ga Co
2 1 12 3
Direct
0.0837 0.0837 0.0837 La
0.9163 0.9163 0.9163 La
0.5000 0.5000 0.5000 Tb
0.0334 0.6631 0.6631 Ga
0.2253 0.2253 0.5929 Ga
0.2253 0.5929 0.2253 Ga
0.3369 0.3369 0.9666 Ga
0.3369 0.9666 0.3369 Ga
0.4071 0.7747 0.7747 Ga
0.5929 0.2253 0.2253 Ga
0.6631 0.0334 0.6631 Ga
0.6631 0.6631 0.0334 Ga
0.7747 0.4071 0.7747 Ga
0.7747 0.7747 0.4071 Ga
0.9666 0.3369 0.3369 Ga
0.0000 0.5000 0.5000 Co
0.5000 0.0000 0.5000 Co
0.5000 0.5000 0.0000 Co
```

Properties
The calculation puts the density at 6.04 g/cm3. The value obtained for the magnetization is 0.00 μB/atom. The calculation puts the calculated total energy at -4.106 eV/atom. Its symmetry is No. 166.

=====

Compound: LaGa2CoTc
Source: Alexandria via LeMat-Bulk
Functional: PBE-GGA
Structure: optimized geometry

The structure in POSCAR format:
```
LaGa2CoTc
1.0
4.5855 0.0000 0.0000
0.0000 4.5855 0.0000
0.0000 0.0000 5.0156
La Ga Co Tc
1 2 1 1
Direct
0.0000 0.0000 0.0000 La
0.0000 0.5000 0.5000 Ga
0.5000 0.0000 0.5000 Ga
0.0000 0.0000 0.5000 Co
0.5000 0.5000 0.0000 Tc
```

Properties
The calculation puts the density at 6.85 g/cm3. The value obtained for the magnetization is 0.60 μB/atom. The calculation puts the calculated total energy at -5.364 eV/atom. Its symmetry is No. 123.

=====

Compound: LaGa2CoTe
Source: Alexandria via LeMat-Bulk
Functional: PBE-GGA
Structure: optimized geometry

The structure in POSCAR format:
```
LaGa2CoTe
1.0
4.7171 0.0000 0.0000
0.0000 4.7171 0.0000
0.0000 0.0000 5.1485
La Ga Co Te
1 2 1 1
Direct
0.0000 0.0000 0.0000 La
0.0000 0.5000 0.5000 Ga
0.5000 0.0000 0.5000 Ga
0.0000 0.0000 0.5000 Co
0.5000 0.5000 0.0000 Te
```

Properties
The calculation puts the density at 6.74 g/cm3. The value obtained for the magnetization is 0.00 μB/atom. The calculation puts the calculated total energy at -4.929 eV/atom. The value obtained for the uncorrected formation energy is -682.9 meV per atom. Its symmetry is No. 123.

=====

Compound: La2TlGaCo
Source: Alexandria via LeMat-Bulk
Functional: PBE-GGA
Structure: optimized geometry

The structure in POSCAR format:
```
La2TlGaCo
1.0
5.2948 0.0000 0.0000
0.0000 5.2948 0.0000
0.0000 0.0000 4.6922
La Tl Ga Co
2 1 1 1
Direct
0.0000 0.5000 0.0000 La
0.5000 0.0000 0.0000 La
0.0000 0.0000 0.5000 Tl
0.5000 0.5000 0.5000 Ga
0.5000 0.5000 0.0000 Co
```

Properties
The calculation puts the density at 7.71 g/cm3. The value obtained for the magnetization is 0.00 μB/atom. The calculation puts the calculated total energy at -4.862 eV/atom. Its symmetry is No. 123.

=====

Compound: LaTlGa2Co
Source: Alexandria via LeMat-Bulk
Functional: PBE-GGA
Structure: optimized geometry

The structure in POSCAR format:
```
LaTlGa2Co
1.0
4.6773 0.0000 0.0000
0.0000 4.6773 0.0000
0.0000 0.0000 4.9780
La Tl Ga Co
1 1 2 1
Direct
0.0000 0.0000 0.0000 La
0.5000 0.5000 0.0000 Tl
0.0000 0.5000 0.5000 Ga
0.5000 0.0000 0.5000 Ga
0.5000 0.5000 0.5000 Co
```

Properties
The calculation puts the density at 8.26 g/cm3. The value obtained for the magnetization is 0.00 μB/atom. The calculation puts the calculated total energy at -4.340 eV/atom. As for the energy above the most stable polymorph in this dataset: 69 meV per atom. Its symmetry is No. 123.

=====

Compound: La3Tl2Ga3Co
Source: Alexandria via LeMat-Bulk
Functional: PBE-GGA
Structure: optimized geometry

The structure in POSCAR format:
```
La3Tl2Ga3Co
1.0
7.4991 0.0000 0.0000
-3.7495 6.4944 0.0000
0.0000 0.0000 4.5900
La Tl Ga Co
3 2 3 1
Direct
0.0000 0.6314 0.0000 La
0.3686 0.3686 0.0000 La
0.6314 0.0000 0.0000 La
0.3333 0.6667 0.5000 Tl
0.6667 0.3333 0.5000 Tl
0.0000 0.2116 0.5000 Ga
0.2116 0.0000 0.5000 Ga
0.7884 0.7884 0.5000 Ga
0.0000 0.0000 0.0000 Co
```

Properties
The calculation puts the density at 8.12 g/cm3. The value obtained for the magnetization is 0.00 μB/atom. The calculation puts the calculated total energy at -4.384 eV/atom. Its symmetry is No. 189.

=====

Compound: LaTlGa2Co
Source: Alexandria via LeMat-Bulk
Functional: PBE-GGA
Structure: optimized geometry

The structure in POSCAR format:
```
LaTlGa2Co
1.0
4.7704 0.0000 0.0000
0.0000 4.7704 0.0000
0.0000 0.0000 5.0258
La Tl Ga Co
1 1 2 1
Direct
0.0000 0.0000 0.0000 La
0.5000 0.5000 0.0000 Tl
0.0000 0.5000 0.5000 Ga
0.5000 0.0000 0.5000 Ga
0.0000 0.0000 0.5000 Co
```

Properties
The calculation puts the density at 7.86 g/cm3. The value obtained for the magnetization is 0.00 μB/atom. The calculation puts the calculated total energy at -4.408 eV/atom. As for the energy above the most stable polymorph in this dataset: 0 meV per atom. Its symmetry is No. 123.